1.
Here is crystalline La2Dy5Ho6 at its relaxed geometry from Alexandria. Energies are from PBE.

## Properties
As for the calculated total energy: -4.539 eV per atom.

POSCAR file:
```
La2Dy5Ho6
1.0
11.718 0.000 0.000
0.000 20.259 0.000
0.000 0.000 3.585
La Dy Ho
4 10 12
Direct
0.168 0.220 0.000
0.332 0.720 0.000
0.668 0.280 0.000
0.832 0.780 0.000
0.000 0.500 0.500
0.094 0.782 0.500
0.200 0.053 0.500
0.300 0.553 0.500
0.406 0.282 0.500
0.500 0.000 0.500
0.594 0.718 0.500
0.700 0.447 0.500
0.800 0.947 0.500
0.906 0.218 0.500
0.060 0.925 0.000
0.076 0.637 0.000
0.181 0.378 0.500
0.319 0.878 0.500
0.424 0.137 0.000
0.440 0.425 0.000
0.560 0.575 0.000
0.576 0.863 0.000
0.681 0.122 0.500
0.819 0.622 0.500
0.924 0.363 0.000
0.940 0.075 0.000
```


2.
Here is crystalline LaDyHo at its relaxed geometry from Alexandria. Energies are from PBE.

## Properties
As for the calculated total energy: -4.667 eV per atom.

POSCAR file:
```
LaDyHo
1.0
1.779 -10.217 0.000
1.779 10.217 0.000
0.000 0.000 5.491
La Dy Ho
2 2 2
Direct
0.205 0.795 0.750
0.795 0.205 0.250
0.040 0.960 0.750
0.960 0.040 0.250
0.388 0.612 0.750
0.612 0.388 0.250
```


3.
Here is crystalline La2Dy3Ho7 at its relaxed geometry from Alexandria. Energies are from PBE.

## Properties
As for the calculated total energy: -4.556 eV per atom.

POSCAR file:
```
La2Dy3Ho7
1.0
6.347 0.000 0.000
0.000 3.518 0.000
-1.895 0.000 17.385
La Dy Ho
2 3 7
Direct
0.057 0.000 0.173
0.943 0.000 0.827
0.455 0.500 0.843
0.500 0.000 0.500
0.545 0.500 0.157
0.000 0.500 0.500
0.230 0.000 0.665
0.257 0.000 0.999
0.276 0.500 0.338
0.724 0.500 0.662
0.743 0.000 0.001
0.770 0.000 0.335
```


4.
Here is crystalline La2DyHo at its relaxed geometry from Alexandria. Energies are from PBE.

## Properties
As for the calculated total energy: -4.585 eV per atom.

POSCAR file:
```
La2DyHo
1.0
1.765 1.019 12.662
-1.765 1.019 12.662
0.000 -2.038 12.662
La Dy Ho
2 1 1
Direct
0.087 0.087 0.087
0.913 0.913 0.913
0.500 0.500 0.500
0.000 0.000 0.000
```


5.
Here is crystalline LaDy5Ho3 at its relaxed geometry from Alexandria. Energies are from PBE.

## Properties
As for the calculated total energy: -4.299 eV per atom.

POSCAR file:
```
LaDy5Ho3
1.0
9.573 -3.023 0.000
9.573 3.023 0.000
-4.221 0.000 10.307
La Dy Ho
2 10 6
Direct
0.147 0.853 0.750
0.853 0.147 0.250
0.090 0.579 0.302
0.101 0.562 0.971
0.371 0.629 0.250
0.421 0.910 0.198
0.438 0.899 0.529
0.562 0.101 0.471
0.579 0.090 0.802
0.629 0.371 0.750
0.899 0.438 0.029
0.910 0.421 0.698
0.000 0.000 0.000
0.000 0.000 0.500
0.047 0.600 0.634
0.400 0.953 0.866
0.600 0.047 0.134
0.953 0.400 0.366
```


6.
Here is crystalline La2Dy7Ho3 at its relaxed geometry from Alexandria. Energies are from PBE.

## Properties
As for the calculated total energy: -4.528 eV per atom.

POSCAR file:
```
La2Dy7Ho3
1.0
2.855 -19.041 0.000
2.855 19.041 0.000
0.000 0.000 3.617
La Dy Ho
2 7 3
Direct
0.147 0.853 0.000
0.853 0.147 0.000
0.000 0.000 0.000
0.070 0.930 0.500
0.231 0.769 0.000
0.412 0.588 0.000
0.588 0.412 0.000
0.769 0.231 0.000
0.930 0.070 0.500
0.313 0.687 0.500
0.500 0.500 0.500
0.687 0.313 0.500
```


7.
Here is crystalline La2Dy5Ho5 at its relaxed geometry from Alexandria. Energies are from PBE.

## Properties
As for the calculated total energy: -4.617 eV per atom.

POSCAR file:
```
La2Dy5Ho5
1.0
7.591 -2.525 0.000
7.591 2.525 0.000
-5.053 0.000 10.092
La Dy Ho
2 5 5
Direct
0.082 0.082 0.249
0.918 0.918 0.751
0.000 0.000 0.500
0.168 0.168 0.000
0.247 0.247 0.748
0.753 0.753 0.252
0.832 0.832 0.000
0.334 0.334 0.499
0.415 0.415 0.250
0.500 0.500 0.000
0.585 0.585 0.750
0.666 0.666 0.501
```


8.
Here is crystalline La3Dy2Ho2 at its relaxed geometry from Alexandria. Energies are from PBE.

## Properties
As for the calculated total energy: -4.680 eV per atom.

POSCAR file:
```
La3Dy2Ho2
1.0
11.819 -2.822 0.000
11.819 2.822 0.000
-0.537 0.000 3.524
La Dy Ho
3 2 2
Direct
0.000 0.000 0.000
0.280 0.280 0.780
0.720 0.720 0.220
0.143 0.143 0.144
0.857 0.857 0.856
0.422 0.422 0.421
0.578 0.578 0.579
```


9.
Here is crystalline LaDy4Ho6 at its relaxed geometry from Alexandria. Energies are from PBE.

## Properties
As for the calculated total energy: -4.177 eV per atom.

POSCAR file:
```
LaDy4Ho6
1.0
-3.866 3.866 6.418
3.866 -3.866 6.418
3.866 3.866 -6.418
La Dy Ho
1 4 6
Direct
0.000 0.000 0.000
0.260 0.260 0.670
0.409 0.740 0.000
0.591 0.591 0.330
0.740 0.409 0.000
0.000 0.500 0.500
0.067 0.558 0.000
0.442 0.442 0.509
0.500 0.000 0.500
0.558 0.067 0.000
0.933 0.933 0.491
```


10.
Here is crystalline La3Dy2Ho4 at its relaxed geometry from Alexandria. Energies are from PBE.

## Properties
As for the calculated total energy: -4.595 eV per atom.

POSCAR file:
```
La3Dy2Ho4
1.0
8.204 -5.916 0.000
8.204 5.916 0.000
-0.814 0.000 6.117
La Dy Ho
6 4 8
Direct
0.130 0.870 0.750
0.200 0.468 0.915
0.468 0.200 0.415
0.532 0.800 0.585
0.800 0.532 0.085
0.870 0.130 0.250
0.014 0.764 0.202
0.236 0.986 0.298
0.764 0.014 0.702
0.986 0.236 0.798
0.102 0.346 0.367
0.322 0.566 0.465
0.346 0.102 0.867
0.434 0.678 0.035
0.566 0.322 0.965
0.654 0.898 0.133
0.678 0.434 0.535
0.898 0.654 0.633
```


11.
Here is crystalline La4Dy5Ho3 at its relaxed geometry from Alexandria. Energies are from PBE.

## Properties
As for the calculated total energy: -4.481 eV per atom.

POSCAR file:
```
La4Dy5Ho3
1.0
8.152 -2.996 0.000
8.152 2.996 0.000
-4.427 0.000 8.412
La Dy Ho
4 5 3
Direct
0.087 0.087 0.448
0.217 0.217 0.881
0.783 0.783 0.119
0.913 0.913 0.552
0.000 0.000 0.000
0.331 0.331 0.621
0.431 0.431 0.294
0.569 0.569 0.706
0.669 0.669 0.379
0.215 0.215 0.238
0.500 0.500 0.000
0.785 0.785 0.762
```


12.
Here is crystalline La2DyHo6 at its relaxed geometry from Alexandria. Energies are from PBE.

## Properties
As for the calculated total energy: -4.585 eV per atom.

POSCAR file:
```
La2DyHo6
1.0
9.818 0.000 0.000
-4.909 8.502 0.000
0.000 0.000 3.488
La Dy Ho
2 1 6
Direct
0.333 0.667 0.000
0.667 0.333 0.000
0.000 0.000 0.000
0.000 0.330 0.500
0.000 0.670 0.500
0.330 0.000 0.500
0.330 0.330 0.500
0.670 0.000 0.500
0.670 0.670 0.500
```


13.
Here is crystalline La8DyHo5 at its relaxed geometry from Alexandria. Energies are from PBE.

## Properties
As for the calculated total energy: -4.617 eV per atom.

POSCAR file:
```
La8DyHo5
1.0
8.645 0.000 0.000
-1.288 8.566 0.000
-3.778 -4.185 6.639
La Dy Ho
8 1 5
Direct
0.000 0.000 0.000
0.001 0.682 0.563
0.395 0.493 0.320
0.443 0.123 0.557
0.559 0.558 0.991
0.610 0.187 0.229
0.740 0.956 0.509
0.886 0.346 0.040
0.013 0.838 0.282
0.131 0.341 0.521
0.223 0.157 0.815
0.256 0.723 0.029
0.486 0.830 0.770
0.778 0.524 0.736
```


14.
Here is crystalline La15DyHo4 at its relaxed geometry from Alexandria. Energies are from PBE.

## Properties
As for the calculated total energy: -4.834 eV per atom.

POSCAR file:
```
La15DyHo4
1.0
5.203 0.000 0.000
0.000 5.203 0.000
0.000 0.000 26.019
La Dy Ho
15 1 4
Direct
0.000 0.000 0.000
0.000 0.000 0.200
0.000 0.000 0.400
0.000 0.000 0.600
0.000 0.000 0.800
0.000 0.500 0.100
0.000 0.500 0.300
0.000 0.500 0.500
0.000 0.500 0.700
0.000 0.500 0.900
0.500 0.000 0.100
0.500 0.000 0.300
0.500 0.000 0.500
0.500 0.000 0.700
0.500 0.000 0.900
0.500 0.500 0.000
0.500 0.500 0.200
0.500 0.500 0.400
0.500 0.500 0.600
0.500 0.500 0.800
```


15.
Here is crystalline La4Dy4Ho3 at its relaxed geometry from Alexandria. Energies are from PBE.

## Properties
As for the calculated total energy: -4.648 eV per atom.

POSCAR file:
```
La4Dy4Ho3
1.0
3.534 0.000 0.000
0.000 5.730 0.000
1.766 2.857 17.972
La Dy Ho
4 4 3
Direct
0.092 0.092 0.316
0.230 0.730 0.040
0.770 0.270 0.960
0.908 0.908 0.684
0.045 0.545 0.410
0.182 0.182 0.137
0.818 0.818 0.863
0.955 0.455 0.590
0.364 0.364 0.772
0.500 0.000 0.500
0.636 0.636 0.228
```


16.
Here is crystalline LaDy4Ho4 at its relaxed geometry from Alexandria. Energies are from PBE.

## Properties
As for the calculated total energy: -4.602 eV per atom.

POSCAR file:
```
LaDy4Ho4
1.0
-5.344 5.344 2.512
5.344 -5.344 2.512
5.344 5.344 -2.512
La Dy Ho
1 4 4
Direct
0.000 0.000 0.000
0.000 0.335 0.335
0.000 0.665 0.665
0.335 0.000 0.335
0.665 0.000 0.665
0.331 0.331 0.663
0.331 0.669 0.000
0.669 0.331 0.000
0.669 0.669 0.337
```


17.
Here is crystalline La2Dy7Ho2 at its relaxed geometry from Alexandria. Energies are from PBE.

## Properties
As for the calculated total energy: -4.506 eV per atom.

POSCAR file:
```
La2Dy7Ho2
1.0
5.635 -5.796 0.000
5.635 5.796 0.000
-2.477 0.000 5.601
La Dy Ho
2 7 2
Direct
0.093 0.093 0.309
0.907 0.907 0.691
0.087 0.564 0.319
0.273 0.273 0.925
0.436 0.913 0.681
0.500 0.500 0.500
0.564 0.087 0.319
0.727 0.727 0.075
0.913 0.436 0.681
0.288 0.712 0.000
0.712 0.288 0.000
```


18.
Here is crystalline La3DyHo at its relaxed geometry from Alexandria. Energies are from PBE.

## Properties
As for the calculated total energy: -4.639 eV per atom.

POSCAR file:
```
La3DyHo
1.0
3.608 0.000 0.000
0.000 17.741 0.000
0.000 0.000 11.144
La Dy Ho
12 4 4
Direct
0.234 0.250 0.000
0.234 0.250 0.500
0.260 0.575 0.058
0.260 0.575 0.442
0.260 0.925 0.558
0.260 0.925 0.942
0.740 0.075 0.058
0.740 0.075 0.442
0.740 0.425 0.558
0.740 0.425 0.942
0.766 0.750 0.000
0.766 0.750 0.500
0.227 0.103 0.750
0.227 0.397 0.250
0.773 0.603 0.750
0.773 0.897 0.250
0.272 0.726 0.250
0.272 0.774 0.750
0.728 0.226 0.250
0.728 0.274 0.750
```


19.
Here is crystalline La4Dy3Ho2 at its relaxed geometry from Alexandria. Energies are from PBE.

## Properties
As for the calculated total energy: -4.710 eV per atom.

POSCAR file:
```
La4Dy3Ho2
1.0
7.709 -2.579 0.000
7.709 2.579 0.000
-2.545 0.000 7.664
La Dy Ho
4 3 2
Direct
0.054 0.054 0.330
0.276 0.276 0.668
0.724 0.724 0.332
0.946 0.946 0.670
0.388 0.388 0.329
0.500 0.500 0.000
0.612 0.612 0.671
0.168 0.168 0.000
0.832 0.832 0.000
```


Number 1: calculated formation energy 0.1019 eV/atom, N(E_F) 17.96 states/eV/f.u., magnetization 0.000 Bohr magnetons per cell. Number 2: calculated formation energy 0.0358 eV/atom, N(E_F) 5.13 states/eV/f.u., magnetization 0.000 Bohr magnetons per cell. Number 3: calculated formation energy 0.0861 eV/atom, N(E_F) 18.41 states/eV/f.u., magnetization 0.000 Bohr magnetons per cell. Number 4: calculated formation energy 0.1737 eV/atom, N(E_F) 7.12 states/eV/f.u., magnetization 0.000 Bohr magnetons per cell. Number 5: calculated formation energy 0.3308 eV/atom, N(E_F) 14.24 states/eV/f.u., magnetization 0.000 Bohr magnetons per cell. Number 6: calculated formation energy 0.1223 eV/atom, N(E_F) 18.08 states/eV/f.u., magnetization 0.000 Bohr magnetons per cell. Number 7: calculated formation energy 0.0287 eV/atom, N(E_F) 18.52 states/eV/f.u., magnetization 0.000 Bohr magnetons per cell. Number 8: calculated formation energy 0.0550 eV/atom, N(E_F) 10.23 states/eV/f.u., magnetization 0.000 Bohr magnetons per cell. Number 9: calculated formation energy 0.4413 eV/atom, N(E_F) 16.95 states/eV/f.u., magnetization 0.000 Bohr magnetons per cell. Number 10: calculated formation energy 0.1050 eV/atom, N(E_F) 13.72 states/eV/f.u., magnetization 0.000 Bohr magnetons per cell. Number 11: calculated formation energy 0.2237 eV/atom, N(E_F) 20.68 states/eV/f.u., magnetization 0.580 Bohr magnetons per cell. Number 12: calculated formation energy 0.0727 eV/atom, N(E_F) 14.82 states/eV/f.u., magnetization 0.000 Bohr magnetons per cell. Number 13: calculated formation energy 0.1620 eV/atom, N(E_F) 21.22 states/eV/f.u., magnetization 0.000 Bohr magnetons per cell. Number 14: calculated formation energy 0.0076 eV/atom, N(E_F) 25.24 states/eV/f.u., magnetization 0.000 Bohr magnetons per cell. Number 15: calculated formation energy 0.0659 eV/atom, N(E_F) 18.11 states/eV/f.u., magnetization 0.000 Bohr magnetons per cell. Number 16: calculated formation energy 0.0255 eV/atom, N(E_F) 13.21 states/eV/f.u., magnetization 0.000 Bohr magnetons per cell. Number 17: calculated formation energy 0.1506 eV/atom, N(E_F) 18.60 states/eV/f.u., magnetization 0.000 Bohr magnetons per cell. Number 18: calculated formation energy 0.1536 eV/atom, N(E_F) 7.69 states/eV/f.u., magnetization 0.000 Bohr magnetons per cell. Number 19: calculated formation energy 0.0314 eV/atom, N(E_F) 15.67 states/eV/f.u., magnetization 0.000 Bohr magnetons per cell.